! CeNdSc2, relaxed, DFT PBE; values from VASP
&SYSTEM
  ibrav = 0, nat = 4, ntyp = 3
/
ATOMIC_SPECIES
Sc 44.96 Sc.upf
Nd 144.24 Nd.upf
Ce 140.12 Ce.upf
CELL_PARAMETERS angstrom
-1.511 -2.953 -0.823
0.609 -1.442 -3.037
8.132 -6.981 3.023
ATOMIC_POSITIONS angstrom
Sc 1.720 -2.787 -0.254
Nd 3.602 -5.680 -0.425
Sc 6.119 -5.664 1.994
Ce -0.596 -2.933 -2.571
! Calculated formation energy ... 8.1 kJ per mole of atoms
! Offset from the most stable computed form ... 12 meV/atom

! TeAs, relaxed, DFT PBE; values from VASP
&SYSTEM
  ibrav = 0, nat = 32, ntyp = 2
/
ATOMIC_SPECIES
Te 127.60 Te.upf
As 74.92 As.upf
CELL_PARAMETERS angstrom
12.656 0.000 0.000
0.000 17.144 0.000
0.000 0.000 7.315
ATOMIC_POSITIONS angstrom
Te 4.480 8.572 0.000
As 6.328 10.403 0.000
Te 5.013 12.858 1.829
As 9.492 14.689 5.486
As 9.492 6.117 1.829
Te 7.644 12.858 5.486
Te 7.644 4.286 1.829
As 0.000 10.403 3.657
Te 10.808 8.572 3.657
As 9.492 2.455 1.829
Te 8.177 8.572 0.000
As 3.164 11.028 1.829
As 3.164 14.689 1.829
Te 1.849 8.572 3.657
Te 4.480 0.000 3.657
Te 11.341 12.858 5.486
As 9.492 11.028 5.486
Te 1.316 12.858 1.829
Te 11.341 4.286 1.829
As 0.000 1.831 0.000
As 6.328 1.831 3.657
Te 10.808 0.000 0.000
Te 1.316 4.286 5.486
As 0.000 6.742 3.657
As 3.164 2.455 5.486
As 3.164 6.117 5.486
Te 8.177 0.000 3.657
Te 5.013 4.286 5.486
As 6.328 6.742 0.000
Te 1.849 0.000 0.000
As 0.000 15.314 0.000
As 6.328 15.314 3.657
! Formation energy (no corrections) ... 0.276 eV per atom

! Pr2CuPtO6, relaxed, DFT PBE; values from VASP
&SYSTEM
  ibrav = 0, nat = 20, ntyp = 4
/
ATOMIC_SPECIES
O 16.00 O.upf
Pr 140.91 Pr.upf
Pt 195.08 Pt.upf
Cu 63.55 Cu.upf
CELL_PARAMETERS angstrom
-4.105 1.334 3.490
-3.988 -2.639 -3.682
1.000 -6.624 3.664
ATOMIC_POSITIONS angstrom
O -2.377 -0.901 2.881
O -5.548 -1.910 2.093
Pr -3.577 -3.867 5.877
Pr -3.694 -5.797 2.441
O -3.945 -1.727 -1.285
Pr -3.516 -4.062 -2.404
Pt -1.994 -1.320 -1.841
Cu -2.052 0.667 1.745
O -4.716 -7.027 0.592
O -1.093 -3.224 1.645
O -3.677 -4.410 0.169
O -5.588 -7.293 3.415
O -6.000 -4.705 1.828
O -3.416 -3.518 3.303
Cu -1.494 -4.631 -0.009
O -1.505 -0.636 0.057
Pt -1.552 -2.645 3.577
O -3.148 -6.202 4.758
O -1.544 -6.018 1.380
Pr -3.398 -2.131 1.032
! Formation energy (no corrections) ... -1.952 eV per atom

! PIrPb2, relaxed, DFT PBE; values from VASP
&SYSTEM
  ibrav = 0, nat = 4, ntyp = 3
/
ATOMIC_SPECIES
Ir 192.22 Ir.upf
Pb 207.20 Pb.upf
P 30.97 P.upf
CELL_PARAMETERS angstrom
-4.499 -1.437 1.456
-2.512 -3.326 -2.656
-0.685 -4.565 1.766
ATOMIC_POSITIONS angstrom
Ir -3.848 -4.663 0.283
Pb 0.000 0.000 0.000
Pb -1.924 -2.332 0.142
P -5.772 -6.995 0.425
! Calculated formation energy ... 60.1 kJ per mole of atoms

! NaTh2Si3Pt4, relaxed, DFT PBE; values from VASP
&SYSTEM
  ibrav = 0, nat = 10, ntyp = 4
/
ATOMIC_SPECIES
Pt 195.08 Pt.upf
Si 28.09 Si.upf
Th 232.04 Th.upf
Na 22.99 Na.upf
CELL_PARAMETERS angstrom
4.288 0.000 0.000
0.000 4.288 0.000
0.000 0.000 10.219
ATOMIC_POSITIONS angstrom
Pt 2.144 2.144 0.000
Pt 2.144 0.000 6.570
Si 2.144 0.000 8.939
Si 0.000 0.000 5.109
Pt 0.000 0.000 0.000
Th 2.144 0.000 2.470
Na 2.144 2.144 5.109
Th 0.000 2.144 7.749
Pt 0.000 2.144 3.649
Si 0.000 2.144 1.280
! Formation energy (no corrections) ... -0.910 eV per atom

! BeNiTeP2, relaxed, DFT PBE; values from VASP
&SYSTEM
  ibrav = 0, nat = 5, ntyp = 4
/
ATOMIC_SPECIES
P 30.97 P.upf
Ni 58.69 Ni.upf
Be 9.01 Be.upf
Te 127.60 Te.upf
CELL_PARAMETERS angstrom
-3.179 -0.954 2.665
0.029 -4.181 -1.462
2.831 -1.032 3.007
ATOMIC_POSITIONS angstrom
P 1.415 -0.516 1.504
P -1.590 -0.477 1.332
Ni 0.015 -2.091 -0.731
Be 0.000 0.000 0.000
Te -0.160 -3.084 2.105
! Formation energy (no corrections) ... 0.632 eV per atom

Please write out number 4 again, unchanged.
! PIrPb2, relaxed, DFT PBE; values from VASP
&SYSTEM
  ibrav = 0, nat = 4, ntyp = 3
/
ATOMIC_SPECIES
Ir 192.22 Ir.upf
Pb 207.20 Pb.upf
P 30.97 P.upf
CELL_PARAMETERS angstrom
-4.499 -1.437 1.456
-2.512 -3.326 -2.656
-0.685 -4.565 1.766
ATOMIC_POSITIONS angstrom
Ir -3.848 -4.663 0.283
Pb 0.000 0.000 0.000
Pb -1.924 -2.332 0.142
P -5.772 -6.995 0.425
! Calculated formation energy ... 60.1 kJ per mole of atoms